Model A:
{"formula": "Zn2HgPb", "functional": "GGA-PBE", "state": "optimized geometry", "magmom_total_mub_per_cell": 0.00, "mass_density_g_cm3": 9.55, "spacegroup": "R-3m", "cell": [[1.859, 1.073, 7.825], [-1.859, 1.073, 7.825], [0.000, -2.146, 7.825]], "species": ["Zn", "Zn", "Hg", "Pb"], "frac_coords": [[0.244, 0.244, 0.244], [0.756, 0.756, 0.756], [0.500, 0.500, 0.500], [0.000, 0.000, 0.000]]}



Model B:
{"formula": "Zn2HgPb", "functional": "GGA-PBE", "state": "optimized geometry", "magmom_total_mub_per_cell": 0.00, "mass_density_g_cm3": 9.83, "spacegroup": "Cm", "cell": [[4.325, -1.753, 0.000], [4.325, 1.753, 0.000], [-1.292, 0.000, 6.000]], "species": ["Zn", "Zn", "Hg", "Pb"], "frac_coords": [[0.000, 0.000, 0.000], [0.730, 0.730, 0.149], [0.254, 0.254, 0.767], [0.484, 0.484, 0.435]]}



Last place for stability: model A



Model A:
{"formula": "ScZn2Re", "functional": "GGA-PBE", "state": "optimized geometry", "magmom_total_mub_per_cell": 0.25, "mass_density_g_cm3": 9.44, "spacegroup": "P4/mmm", "cell": [[2.774, 0.000, 0.000], [0.000, 2.774, 0.000], [0.000, 0.000, 8.273]], "species": ["Sc", "Zn", "Zn", "Re"], "frac_coords": [[0.000, 0.000, 0.000], [0.500, 0.500, 0.264], [0.500, 0.500, 0.736], [0.000, 0.000, 0.500]]}



Model B:
{"formula": "ScZn2Re", "functional": "GGA-PBE", "state": "optimized geometry", "magmom_total_mub_per_cell": 0.01, "mass_density_g_cm3": 9.54, "spacegroup": "P2/m", "cell": [[2.767, 0.000, 0.000], [0.000, 4.113, 0.000], [-0.007, 0.000, 5.534]], "species": ["Sc", "Zn", "Zn", "Re"], "frac_coords": [[0.000, 0.000, 0.000], [0.500, 0.500, 0.270], [0.500, 0.500, 0.730], [0.000, 0.000, 0.500]]}



Last place for stability: model A